--- A ---
This record from Alexandria describes a relaxed FeAgSb2I crystal. The functional is PBE.

Properties
**Spin magnetization**: 2.95 Bohr magnetons per cell

a = 5.3517 Å, b = 5.3517 Å, c = 5.6499 Å
α = 90.00°, β = 90.00°, γ = 90.00°
Last column: nearest neighbours and their distance in Å.
Element x y z (fractional)
Fe  0.0000  0.0000  0.0000  4 I 3.78, 8 Sb 3.89
Ag  0.5000  0.5000  0.5000  4 Sb 2.68, 2 I 2.82
Sb  0.0000  0.5000  0.5000  2 Ag 2.68
Sb  0.5000  0.0000  0.5000  2 Ag 2.68
I  0.5000  0.5000  0.0000  2 Ag 2.82

=====

--- B ---
This record from Alexandria describes a relaxed FeAgSb2I crystal. The functional is PBE.

Properties
**Spin magnetization**: 0.00 Bohr magnetons per cell

a = 4.8072 Å, b = 4.8072 Å, c = 5.7838 Å
α = 90.00°, β = 90.00°, γ = 90.00°
Last column: nearest neighbours and their distance in Å.
Element x y z (fractional)
Fe  0.0000  0.0000  0.0000  4 Sb 2.40
Ag  0.5000  0.5000  0.5000  4 I 3.40, 8 Sb 3.76
Sb  0.0000  0.5000  0.0000  2 Fe 2.40
Sb  0.5000  0.0000  0.0000  2 Fe 2.40
I  0.0000  0.0000  0.5000  2 Fe 2.89

=====

Stability ranking, top and bottom: B is the most stable and A is the least stable.

=====

--- A ---
This record from Alexandria describes a relaxed FeAgTeI2 crystal. The functional is PBE.

Properties
**Spin magnetization**: 0.00 Bohr magnetons per cell

a = 5.5633 Å, b = 5.5633 Å, c = 4.7376 Å
α = 90.00°, β = 90.00°, γ = 90.00°
Last column: nearest neighbours and their distance in Å.
Element x y z (fractional)
Fe  0.0000  0.0000  0.0000  2 Te 2.37
Ag  0.5000  0.5000  0.5000  8 I 3.65, 4 Te 3.93
Te  0.0000  0.0000  0.5000  2 Fe 2.37
I  0.0000  0.5000  0.0000  2 Fe 2.78
I  0.5000  0.0000  0.0000  2 Fe 2.78

=====

--- B ---
This record from Alexandria describes a relaxed FeAgTeI2 crystal. The functional is PBE.

Properties
**Spin magnetization**: 4.11 Bohr magnetons per cell

a = 5.5580 Å, b = 5.5580 Å, c = 5.6227 Å
α = 90.00°, β = 90.00°, γ = 90.00°
Last column: nearest neighbours and their distance in Å.
Element x y z (fractional)
Fe  0.0000  0.0000  0.0000  4 Te 3.93, 8 I 3.95
Ag  0.5000  0.5000  0.5000  4 I 2.78, 2 Te 2.81
Te  0.5000  0.5000  0.0000  2 Ag 2.81
I  0.0000  0.5000  0.5000  2 Ag 2.78
I  0.5000  0.0000  0.5000  2 Ag 2.78

=====

Stability ranking, top and bottom: A is the most stable and B is the least stable.

=====

--- A ---
This record from Alexandria describes a relaxed InFeAg crystal. The functional is PBE.

Properties
**Spin magnetization**: 2.79 Bohr magnetons per cell

a = 6.3043 Å, b = 6.3043 Å, c = 6.3043 Å
α = 152.79°, β = 152.79°, γ = 38.87°
Last column: nearest neighbours and their distance in Å.
Element x y z (fractional)
In  0.0000  0.0000  0.0000  4 Fe 2.83, 4 In 2.97, 4 Ag 3.06
Fe  0.3401  0.3401  0.0000  4 Ag 2.77, 4 In 2.83, 4 Fe 2.97
Ag  0.6874  0.6874  0.0000  4 Fe 2.77, 4 Ag 2.97, 4 In 3.06

=====

--- B ---
This record from Alexandria describes a relaxed InFeAg crystal. The functional is PBE.

Properties
**Spin magnetization**: 2.50 Bohr magnetons per cell

a = 4.5555 Å, b = 4.5555 Å, c = 2.9255 Å
α = 90.00°, β = 90.00°, γ = 120.00°
Last column: nearest neighbours and their distance in Å.
Element x y z (fractional)
In  0.0000  0.0000  0.0000  3 Ag 2.79, 3 Fe 2.81, 2 In 2.93
Fe  0.6667  0.3333  0.6594  3 In 2.81, 3 Ag 2.82, 2 Fe 2.93
Ag  0.3333  0.6667  0.3154  3 In 2.79, 3 Fe 2.82, 2 Ag 2.93

=====

Stability ranking, top and bottom: A is the most stable and B is the least stable.

=====

--- A ---
This record from Alexandria describes a relaxed FeAg2IrPd crystal. The functional is PBE.

Properties
**Spin magnetization**: 4.00 Bohr magnetons per cell

a = 5.0514 Å, b = 5.0514 Å, c = 4.4947 Å
α = 90.00°, β = 90.00°, γ = 90.00°
Last column: nearest neighbours and their distance in Å.
Element x y z (fractional)
Fe  0.0000  0.0000  0.0000  2 Ir 2.25
Ag  0.0000  0.5000  0.5000  2 Ir 2.53
Ag  0.5000  0.0000  0.5000  2 Ir 2.53
Ir  0.0000  0.0000  0.5000  2 Fe 2.25
Pd  0.5000  0.5000  0.0000  8 Ag 3.38, 4 Fe 3.57

=====

--- B ---
This record from Alexandria describes a relaxed FeAg2IrPd crystal. The functional is PBE.

Properties
**Spin magnetization**: 4.09 Bohr magnetons per cell

a = 5.0452 Å, b = 5.0452 Å, c = 4.7597 Å
α = 90.00°, β = 90.00°, γ = 90.00°
Last column: nearest neighbours and their distance in Å.
Element x y z (fractional)
Fe  0.0000  0.0000  0.0000  8 Ag 3.47, 4 Pd 3.57
Ag  0.0000  0.5000  0.5000  2 Ir 2.52
Ag  0.5000  0.0000  0.5000  2 Ir 2.52
Ir  0.5000  0.5000  0.5000  2 Pd 2.38, 4 Ag 2.52
Pd  0.5000  0.5000  0.0000  2 Ir 2.38

=====

Stability ranking, top and bottom: A is the most stable and B is the least stable.